No. 1
Compound: SrSb3N
Source: Alexandria via LeMat-Bulk
Functional: GGA-PBE
Structure: relaxed

Cell and atoms, written as extended XYZ:
```
5
Lattice="4.9304 0.0000 0.0000 0.0000 4.9304 0.0000 0.0000 0.0000 4.9304" Properties=species:S:1:pos:R:3 pbc="T T T"
Sb 0.0000 2.4652 0.0000
Sb 0.0000 0.0000 2.4652
Sb 2.4652 0.0000 0.0000
N 0.0000 0.0000 0.0000
Sr 2.4652 2.4652 2.4652
```

Results
Final energy: -4.3479 eV per atom
E_form (uncorrected): 0.127 eV per atom
Magnetization: 0.0 μB per formula unit
Crystal system: cubic
Energy above the most stable polymorph in this dataset: 0.0 meV per atom

---

No. 2
Compound: BaLiZnAs2
Source: Alexandria via LeMat-Bulk
Functional: GGA-PBE
Structure: relaxed

Cell and atoms, written as extended XYZ:
```
5
Lattice="4.3839 0.0000 0.0000 0.0000 4.3839 0.0000 -2.1919 -2.1919 5.9316" Properties=species:S:1:pos:R:3 pbc="T T T"
Ba 0.0000 0.0000 0.0000
Li 2.1919 0.0000 2.9658
Zn 0.0000 2.1919 2.9658
As 2.1919 2.1919 1.5401
As 0.0000 0.0000 4.3915
```

Results
Final energy: -3.6192 eV per atom
Calculated formation energy: -737 meV/atom
Magnetization: 0.0 μB per formula unit
Crystal system: tetragonal

---

No. 3
Compound: Na3Np2PtS6
Source: Alexandria via LeMat-Bulk
Functional: GGA-PBE
Structure: relaxed

Cell and atoms, written as extended XYZ:
```
12
Lattice="6.6671 -0.0400 0.0240 -3.3666 5.7548 0.0240 -1.0758 -1.8627 6.7558" Properties=species:S:1:pos:R:3 pbc="T T T"
Na -2.2722 3.8808 3.4019
Na 4.4969 -0.0287 3.4019
Na 1.1124 1.9260 3.4019
Np -0.0475 3.8379 0.0240
Np 3.3480 1.8769 0.0240
Pt 0.0000 0.0000 0.0000
S 3.3429 1.9059 5.2237
S 2.2843 3.9553 1.4537
S -1.1182 1.9461 1.5802
S -0.0198 3.8480 5.2237
S -0.0596 -0.1032 5.3502
S 2.2445 0.0041 1.5802
```

Results
Final energy: -6.1175 eV per atom
E_form (uncorrected): -1.064 eV per atom
Magnetization: 6.8 μB per formula unit
Crystal system: monoclinic

---

No. 4
Compound: GaSnTeF2
Source: Alexandria via LeMat-Bulk
Functional: GGA-PBE
Structure: relaxed

Cell and atoms, written as extended XYZ:
```
5
Lattice="-1.4487 3.8746 -0.4454 -0.4714 -0.8562 -5.9151 -3.8863 -1.3943 0.5116" Properties=species:S:1:pos:R:3 pbc="T T T"
Te -2.9032 0.8121 -2.9245
Sn -0.2357 -0.4281 -2.9576
Ga 0.0000 0.0000 0.0000
F -1.9432 -0.6971 0.2558
F -0.7243 1.9373 -0.2227
```

Results
Final energy: -3.9248 eV per atom
E_form (uncorrected): -1.142 eV per atom
Magnetization: 0.0 μB per formula unit
Crystal system: tetragonal

---

No. 5
Compound: VCdH
Source: Alexandria via LeMat-Bulk
Functional: GGA-PBE
Structure: relaxed

Cell and atoms, written as extended XYZ:
```
3
Lattice="2.9135 2.9135 0.0000 0.0000 2.9135 2.9135 2.9135 0.0000 2.9135" Properties=species:S:1:pos:R:3 pbc="T T T"
H 1.4568 1.4568 1.4568
Cd 4.3703 4.3703 4.3703
V 2.9135 2.9135 2.9135
```

Results
Final energy: -3.0769 eV per atom
Magnetization: 0.0 μB per formula unit
Crystal system: cubic
Energy above the most stable polymorph in this dataset: 1415.7 meV per atom

---

No. 6
Compound: NdTlIn
Source: Alexandria via LeMat-Bulk
Functional: GGA-PBE
Structure: relaxed

Cell and atoms, written as extended XYZ:
```
3
Lattice="3.8597 0.0000 0.0000 0.0000 5.0453 0.0000 0.0000 -2.5227 4.3694" Properties=species:S:1:pos:R:3 pbc="T T T"
Tl 0.2238 0.0000 0.0000
Nd 2.6155 2.5227 1.4565
In 1.0204 0.0000 2.9129
```

Results
Final energy: -3.6549 eV per atom
Calculated formation energy: -364 meV/atom
Magnetization: 0.0 μB per formula unit
Crystal system: trigonal
Energy above the most stable polymorph in this dataset: 0.0 meV per atom

---

No. 7
Compound: CsMgHg2F8
Source: Alexandria via LeMat-Bulk
Functional: GGA-PBE
Structure: relaxed

Cell and atoms, written as extended XYZ:
```
12
Lattice="-0.6698 -0.1412 5.7003 -5.2232 -0.7606 2.2587 -0.9175 -7.6662 2.5936" Properties=species:S:1:pos:R:3 pbc="T T T"
Cs -3.4052 -4.2840 5.2763
Mg 0.0000 0.0000 0.0000
Hg -1.8488 -1.1137 2.6464
Hg -4.9617 -7.4543 7.9062
F -1.5507 -3.2111 2.6295
F -2.1120 -1.3449 4.9562
F -5.2598 -5.3569 7.9231
F -4.3322 -1.6765 6.9360
F -2.4782 -6.8915 3.6166
F -4.9219 -1.7366 4.0021
F -1.8886 -6.8314 6.5505
F -4.6985 -7.2231 5.5965
```

Results
Final energy: -3.5401 eV per atom
E_form (uncorrected): -2.038 eV per atom
Magnetization: 1.1 μB per formula unit
Crystal system: trigonal

---

No. 8
Compound: CdSbOs
Source: Alexandria via LeMat-Bulk
Functional: GGA-PBE
Structure: relaxed

Cell and atoms, written as extended XYZ:
```
3
Lattice="4.5102 0.0000 0.0000 2.2551 3.9060 0.0000 2.2551 1.3020 3.6826" Properties=species:S:1:pos:R:3 pbc="T T T"
Sb 0.0000 0.0000 0.0000
Os 2.2551 1.3020 0.9206
Cd 4.5102 2.6040 1.8413
```

Results
Final energy: -4.9888 eV per atom
E_form (uncorrected): 0.434 eV per atom
Magnetization: 0.0 μB per formula unit
Crystal system: cubic
Energy above the most stable polymorph in this dataset: 68.0 meV per atom

---

Among the records above, which one has the lowest final energy? Na3Np2PtS6

---

Please write out number 7 again, unchanged.
Compound: CsMgHg2F8
Source: Alexandria via LeMat-Bulk
Functional: GGA-PBE
Structure: relaxed

Cell and atoms, written as extended XYZ:
```
12
Lattice="-0.6698 -0.1412 5.7003 -5.2232 -0.7606 2.2587 -0.9175 -7.6662 2.5936" Properties=species:S:1:pos:R:3 pbc="T T T"
Cs -3.4052 -4.2840 5.2763
Mg 0.0000 0.0000 0.0000
Hg -1.8488 -1.1137 2.6464
Hg -4.9617 -7.4543 7.9062
F -1.5507 -3.2111 2.6295
F -2.1120 -1.3449 4.9562
F -5.2598 -5.3569 7.9231
F -4.3322 -1.6765 6.9360
F -2.4782 -6.8915 3.6166
F -4.9219 -1.7366 4.0021
F -1.8886 -6.8314 6.5505
F -4.6985 -7.2231 5.5965
```

Results
Final energy: -3.5401 eV per atom
E_form (uncorrected): -2.038 eV per atom
Magnetization: 1.1 μB per formula unit
Crystal system: trigonal

---

Which value of magnetization does entry 2 give? 0.0 μB per formula unit

---

What is the final energy in the third record? -6.1175 eV per atom